Density functional theory data (PBE) for a relaxed structure of PIr2Au. Values from VASP.

```
&SYSTEM
  ibrav = 0, nat = 4, ntyp = 3
/
ATOMIC_SPECIES
P 30.97 P.upf
Ir 192.22 Ir.upf
Au 196.97 Au.upf
CELL_PARAMETERS angstrom
-1.455 1.584 7.004
1.455 -1.584 7.004
1.455 1.584 -7.004
ATOMIC_POSITIONS crystal
P 0.000 0.000 0.000
Ir 0.573 0.573 0.000
Ir 0.875 0.375 0.500
Au 0.238 0.738 0.500
```

## Properties
* symmetry: Imm2 (44)
* DFT total energy: -6.5345 eV/atom

---

Density functional theory data (PBE) for a relaxed structure of PIr2Au. Values from VASP.

```
&SYSTEM
  ibrav = 0, nat = 8, ntyp = 3
/
ATOMIC_SPECIES
P 30.97 P.upf
Ir 192.22 Ir.upf
Au 196.97 Au.upf
CELL_PARAMETERS angstrom
-3.459 3.459 2.649
3.459 -3.459 2.649
3.459 3.459 -2.649
ATOMIC_POSITIONS crystal
P 0.000 0.000 0.000
P 0.750 0.250 0.500
Ir 0.065 0.625 0.940
Ir 0.375 0.315 0.440
Ir 0.685 0.125 0.060
Ir 0.875 0.935 0.560
Au 0.250 0.750 0.500
Au 0.500 0.500 0.000
```

## Properties
* symmetry: I-42d (122)
* DFT total energy: -6.5685 eV/atom

---

- Look up the DFT total energy of the second one.
  -6.5685 eV/atom

---

- What is the formula in the second record?
  PIr2Au